First-principles (PBE) data for a relaxed Rb2SiF7 crystal, as listed in Alexandria via LeMat-Bulk.

```
Rb2SiF7
1.0
-3.052 3.052 4.488
3.052 -3.052 4.488
3.052 3.052 -4.488
Rb Si F
2 1 7
direct
0.250 0.750 0.500
0.750 0.250 0.500
0.000 0.000 0.000
0.191 0.191 0.000
0.199 0.199 0.399
0.199 0.801 0.000
0.500 0.500 0.000
0.801 0.199 0.000
0.801 0.801 0.601
0.809 0.809 0.000
```

## Properties
Its space-group type is I4/mmm (139). Its electronic total energy is -47.6 eV for the cell shown. For the uncorrected formation energy, the calculation gives -262.29 kJ per mole of atoms. Its spin magnetization is 1.00 μB/f.u.